(1)
First-principles (GGA-PBE) data for a geometry-optimized DyTmSi2Ir structure, as listed in the Open Quantum Materials Database.

POSCAR file:
```
DyTmSi2Ir
1.0
5.253 -2.101 0.000
5.253 2.101 0.000
-4.784 0.000 8.748
Si Ir Tm Dy
4 2 2 2
Cartesian
-0.687 0.000 8.182
2.149 0.000 5.456
6.409 0.000 0.566
3.573 0.000 3.292
3.465 0.000 7.641
2.257 0.000 1.107
6.521 0.000 7.204
-0.799 0.000 1.543
6.687 0.000 3.428
-0.965 0.000 5.319
```

For the total magnetization, the calculation gives 0.01 μB per formula unit. The final energy is -6.735 eV per atom.

(2)
First-principles (GGA-PBE) data for a geometry-optimized LuGaPO structure, as listed in the Open Quantum Materials Database.

POSCAR file:
```
LuGaPO
1.0
-3.251 0.768 -2.648
-2.508 -3.772 1.984
-2.451 3.791 4.109
Lu P Ga O
2 2 2 2
Cartesian
-3.651 -1.946 0.487
-3.803 1.565 1.691
-1.694 -0.343 1.980
-3.485 0.702 4.481
-2.676 3.088 4.180
-3.269 -1.543 3.565
-4.087 3.503 2.602
-4.918 -1.485 2.175
```

The energy above the lowest structure with this stoichiometry comes out at 0.1633 eV/atom. For the total magnetization, the calculation gives 0.00 μB per formula unit.

(3)
First-principles (GGA-PBE) data for a geometry-optimized UInAgS3 structure, as listed in the Open Quantum Materials Database.

POSCAR file:
```
UInAgS3
1.0
2.031 -6.879 0.000
2.031 6.879 0.000
0.000 0.000 10.537
S U Ag In
6 2 2 2
Cartesian
2.031 -5.109 5.539
2.031 5.109 4.999
2.031 0.738 2.634
2.031 -5.109 10.268
2.031 -0.738 7.903
2.031 5.109 0.270
2.031 0.000 0.000
2.031 0.000 5.269
2.031 5.815 2.634
2.031 -5.815 7.903
2.031 3.879 7.903
2.031 -3.879 2.634
```

For the total magnetization, the calculation gives 2.00 μB per formula unit. The final energy is -5.669 eV per atom.

(4)
First-principles (GGA-PBE) data for a geometry-optimized Ta25Ni4 structure, as listed in the Open Quantum Materials Database.

POSCAR file:
```
Ta25Ni4
1.0
-3.025 -5.057 6.535
5.613 5.946 3.251
-6.736 4.133 -3.869
Ta Ni
25 4
Cartesian
-3.179 2.214 4.950
2.609 2.003 4.915
1.004 4.018 3.191
-2.317 5.279 -1.320
-0.068 -0.759 3.030
0.230 -1.028 5.820
1.085 5.779 0.641
-5.865 0.759 0.029
-1.559 4.277 4.334
-1.443 2.646 -0.824
-3.874 3.937 2.999
-2.544 -0.502 4.541
-2.383 -1.098 1.695
-1.495 4.546 1.436
-6.905 0.337 2.761
-4.843 -1.773 2.895
0.816 2.977 0.479
0.870 1.479 7.243
-3.062 0.583 -0.208
1.512 1.255 2.429
-4.069 3.274 0.267
-1.466 7.265 0.693
-4.205 1.094 2.466
-0.331 1.663 4.700
0.000 0.000 0.000
-1.531 1.853 2.183
-1.909 -3.191 4.124
-4.251 2.608 -2.442
3.542 3.752 2.051
```

For the total magnetization, the calculation gives 0.00 μB per formula unit. The final energy is -10.653 eV per atom.

(5)
First-principles (GGA-PBE) data for a geometry-optimized BeGaCoPb structure, as listed in the Open Quantum Materials Database.

POSCAR file:
```
BeGaCoPb
1.0
0.000 3.147 3.147
3.147 0.000 3.147
3.147 3.147 0.000
Be Co Ga Pb
1 1 1 1
Cartesian
4.720 4.720 4.720
1.573 1.573 1.573
0.000 0.000 0.000
3.147 3.147 3.147
```

The energy above the lowest structure with this stoichiometry comes out at 0.0000 eV/atom. For the total magnetization, the calculation gives 0.01 μB per formula unit.

(6)
First-principles (GGA-PBE) data for a geometry-optimized BeGa2Cu5 structure, as listed in the Open Quantum Materials Database.

POSCAR file:
```
BeGa2Cu5
1.0
-2.454 -1.424 -2.943
3.090 -2.213 -1.506
-1.518 -4.445 3.416
Ga Cu Be
2 5 1
Cartesian
-0.441 -4.041 -0.516
0.000 0.000 0.000
1.185 -2.162 0.058
-0.759 -2.223 1.708
-2.385 -4.102 1.134
0.387 -4.496 1.852
-1.588 -1.767 -0.661
0.318 -1.818 -2.225
```

The final energy is -3.606 eV per atom.

(7)
First-principles (GGA-PBE) data for a geometry-optimized CsLuBiTe3 structure, as listed in the Open Quantum Materials Database.

POSCAR file:
```
CsLuBiTe3
1.0
2.608 8.771 1.439
-4.571 -6.615 -4.599
-9.827 1.727 7.283
Te Lu Bi Cs
6 2 2 2
Cartesian
-8.761 -3.888 -0.135
-3.007 2.435 0.604
-13.404 -3.072 3.306
-8.783 1.448 3.519
-3.028 7.771 4.258
1.614 6.955 0.817
-0.982 1.078 -1.580
-5.895 1.941 2.061
-11.456 -4.280 1.271
-0.334 8.163 2.852
-6.506 6.328 5.434
-5.283 -2.445 -1.311
```

The energy above the lowest structure with this stoichiometry comes out at 0.0407 eV/atom. For the total magnetization, the calculation gives 0.01 μB per formula unit.

(8)
First-principles (GGA-PBE) data for a geometry-optimized Zr2As2Os3 structure, as listed in the Open Quantum Materials Database.

POSCAR file:
```
Zr2As2Os3
1.0
-6.241 3.115 3.115
-3.115 3.115 6.241
-3.115 6.241 3.115
Os As Zr
3 2 2
Cartesian
-4.627 4.627 4.627
-7.829 7.829 7.829
-10.960 10.960 10.960
-0.077 0.077 0.077
-6.159 6.159 6.159
-9.417 9.417 9.417
-3.020 3.020 3.020
```

For the total magnetization, the calculation gives 0.01 μB per formula unit. The final energy is -8.787 eV per atom.

(9)
First-principles (GGA-PBE) data for a geometry-optimized PrSmS4 structure, as listed in the Open Quantum Materials Database.

POSCAR file:
```
PrSmS4
1.0
3.959 0.000 0.000
0.000 3.959 0.000
0.000 0.000 8.199
S Sm Pr
4 1 1
Cartesian
1.980 0.000 0.027
0.000 1.980 0.027
0.000 0.000 2.991
1.980 1.980 5.155
1.980 1.980 2.244
0.000 0.000 5.955
```

For the total magnetization, the calculation gives 0.00 μB per formula unit. The final energy is -6.000 eV per atom.

(10)
First-principles (GGA-PBE) data for a geometry-optimized Dy3S2N structure, as listed in the Open Quantum Materials Database.

POSCAR file:
```
Dy3S2N
1.0
3.690 0.000 0.000
-1.845 3.195 0.000
0.000 0.000 9.529
Dy S N
3 2 1
Cartesian
0.000 2.130 1.292
0.000 0.000 4.764
1.845 1.065 8.237
1.845 1.065 3.061
0.000 2.130 6.468
0.000 0.000 0.000
```

For the total magnetization, the calculation gives 0.00 μB per formula unit. The final energy is -6.942 eV per atom.

(11)
First-principles (GGA-PBE) data for a geometry-optimized LuCdCoGe structure, as listed in the Open Quantum Materials Database.

POSCAR file:
```
LuCdCoGe
1.0
0.000 3.295 3.295
3.295 0.000 3.295
3.295 3.295 0.000
Co Lu Cd Ge
1 1 1 1
Cartesian
4.943 4.943 4.943
1.648 1.648 1.648
3.295 3.295 3.295
0.000 0.000 0.000
```

The energy above the lowest structure with this stoichiometry comes out at 0.0000 eV/atom. For the total magnetization, the calculation gives 0.21 μB per formula unit.

(12)
First-principles (GGA-PBE) data for a geometry-optimized Ta2CS2 structure, as listed in the Open Quantum Materials Database.

POSCAR file:
```
Ta2CS2
1.0
-3.027 0.920 -0.889
1.730 -2.031 -1.919
-3.636 -7.482 4.641
S C Ta
2 1 2
Cartesian
-0.928 -3.254 -0.207
-4.005 -5.338 2.040
-0.001 -0.001 0.001
-1.894 -0.995 -0.655
-3.040 -7.599 2.488
```

For the total magnetization, the calculation gives 0.01 μB per formula unit. The final energy is -9.171 eV per atom.